DFT (PBE) results for a relaxed Be2AlAg crystal.

The structure in POSCAR format:
```
Be2AlAg
1.0
-1.8344 1.8344 3.7727
1.8344 -1.8344 3.7727
1.8344 1.8344 -3.7727
Be Al Ag
2 1 1
Cartesian
0.0000 0.0000 0.0000 Be
0.0000 1.8344 1.8863 Be
0.0000 0.0000 3.7727 Al
1.8344 0.0000 1.8863 Ag
```

## Properties
Space-group type: I-4m2 (119)
Energy relative to the elements (meV/atom): 236.0

***

DFT (PBE) results for a relaxed IrRuSe2 crystal.

The structure in POSCAR format:
```
IrRuSe2
1.0
1.6045 0.9263 9.3162
-1.6045 0.9263 9.3162
0.0000 -1.8527 9.3162
Ir Ru Se
1 1 2
Cartesian
0.0000 0.0000 0.0000 Ir
0.0000 0.0000 21.0023 Ru
0.0000 0.0000 7.7950 Se
0.0000 0.0000 13.2056 Se
```

## Properties
Space-group type: R3m (160)
Formation energy without anion corrections (kJ/mol of formula units): 47

***

DFT (PBE) results for a relaxed Tm2PuSc8 crystal.

The structure in POSCAR format:
```
Tm2PuSc8
1.0
8.3775 -2.5568 0.0000
8.3775 2.5568 0.0000
-3.2153 0.0000 6.6101
Tm Pu Sc
2 1 8
Cartesian
2.7203 0.0000 1.3213 Tm
10.8194 0.0000 5.2888 Tm
6.7698 0.0000 3.3051 Pu
-0.6820 0.0000 1.4131 Sc
14.2216 0.0000 5.1971 Sc
0.6032 0.0000 4.3896 Sc
4.0326 0.0000 4.3299 Sc
5.9060 0.0000 0.5120 Sc
7.6336 0.0000 6.0982 Sc
9.5070 0.0000 2.2802 Sc
12.9364 0.0000 2.2205 Sc
```

## Properties
Space-group type: C2/m (12)
Energy relative to the elements (meV/atom): 130.3

***

DFT (PBE) results for a relaxed HRuS2 crystal.

The structure in POSCAR format:
```
HRuS2
1.0
1.4111 0.8147 7.1889
-1.4111 0.8147 7.1889
0.0000 -1.6293 7.1889
H Ru S
1 1 2
Cartesian
0.0000 0.0000 0.0000 H
0.0000 0.0000 10.7833 Ru
0.0000 0.0000 8.5557 S
0.0000 0.0000 13.0110 S
```

## Properties
Uncorrected energy (eV per cell): -18.12
Space-group type: R-3m (166)

***

DFT (PBE) results for a relaxed KAcPb2Se4 crystal.

The structure in POSCAR format:
```
KAcPb2Se4
1.0
7.7288 0.0000 0.0000
0.0000 4.4879 0.0000
-2.4831 0.0000 7.3433
K Ac Pb Se
1 1 2 4
Cartesian
0.0000 0.0000 0.0000 K
3.8644 2.2440 0.0000 Ac
-1.2415 2.2440 3.6717 Pb
2.6229 0.0000 3.6717 Pb
0.1413 0.0000 5.5050 Se
1.4141 2.2440 1.9018 Se
3.8317 2.2440 5.4416 Se
5.1044 0.0000 1.8384 Se
```

## Properties
Space-group type: P2/m (10)
Formation energy without anion corrections (kJ/mol of formula units): -881

***

DFT (PBE) results for a relaxed LaRhC2 crystal.

The structure in POSCAR format:
```
LaRhC2
1.0
0.0000 3.0090 3.0090
3.0090 0.0000 3.0090
3.0090 3.0090 0.0000
La Rh C
1 1 2
Cartesian
0.0000 0.0000 0.0000 La
3.0090 3.0090 3.0090 Rh
1.5045 1.5045 1.5045 C
4.5135 4.5135 4.5135 C
```

## Properties
Space-group type: Fm-3m (225)
Energy relative to the elements (meV/atom): 927.8

***

Number 1: V 12.7 Å³ per atom. Number 2: V 20.8 Å³ per atom. Number 3: V 25.7 Å³ per atom. Number 4: V 12.4 Å³ per atom. Number 5: V 31.8 Å³ per atom. Number 6: V 13.6 Å³ per atom.